# 1
CeHo2PaN4 after structural relaxation. Source: Alexandria via LeMat-Bulk, functional PBE.

Values from the calculation:
**E_form (uncorrected)**: -1653 meV/atom
**Spin magnetization**: 0.00 μB per cell
**Density**: 10.429 g/cm³
**Total DFT energy (no corrections)**: -71.108 eV per cell

Geometry as CIF:
```
data_CeHo2PaN4
_chemical_formula_sum 'Ce1 Ho2 Pa1 N4'
_cell_length_a 6.045
_cell_length_b 3.493
_cell_length_c 6.050
_cell_angle_alpha 90.00
_cell_angle_beta 109.33
_cell_angle_gamma 90.00
_space_group_name_H-M_alt 'P 1 2/m 1'
_space_group_IT_number 10
loop_
_space_group_symop_operation_xyz
'x,y,z'
'-x,-y,-z'
'-x,y,-z'
'x,-y,z'
loop_
_atom_site_label
_atom_site_fract_x
_atom_site_fract_y
_atom_site_fract_z
Ce1 0.000 0.000 0.000
Ho1 0.500 0.000 0.500
Ho2 0.500 0.500 0.000
Pa1 0.000 0.500 0.500
N1 0.246 0.000 0.739
N2 0.248 0.500 0.263
```

***

# 2
CeHoPa2N4 after structural relaxation. Source: Alexandria via LeMat-Bulk, functional PBE.

Values from the calculation:
**E_form (uncorrected)**: -1634 meV/atom
**Spin magnetization**: 0.00 μB per cell
**Density**: 11.192 g/cm³
**Total DFT energy (no corrections)**: -75.877 eV per cell

Geometry as CIF:
```
data_CeHoPa2N4
_chemical_formula_sum 'Ce1 Ho1 Pa2 N4'
_cell_length_a 6.046
_cell_length_b 3.508
_cell_length_c 6.107
_cell_angle_alpha 90.00
_cell_angle_beta 109.43
_cell_angle_gamma 90.00
_space_group_name_H-M_alt 'P 1 2/m 1'
_space_group_IT_number 10
loop_
_space_group_symop_operation_xyz
'x,y,z'
'-x,-y,-z'
'-x,y,-z'
'x,-y,z'
loop_
_atom_site_label
_atom_site_fract_x
_atom_site_fract_y
_atom_site_fract_z
Ce1 0.000 0.000 0.000
Ho1 0.000 0.500 0.500
Pa1 0.500 0.000 0.500
Pa2 0.500 0.500 0.000
N1 0.263 0.000 0.746
N2 0.267 0.500 0.265
```

***

Please write out number 2 again, unchanged.
CeHoPa2N4 after structural relaxation. Source: Alexandria via LeMat-Bulk, functional PBE.

Values from the calculation:
**E_form (uncorrected)**: -1634 meV/atom
**Spin magnetization**: 0.00 μB per cell
**Density**: 11.192 g/cm³
**Total DFT energy (no corrections)**: -75.877 eV per cell

Geometry as CIF:
```
data_CeHoPa2N4
_chemical_formula_sum 'Ce1 Ho1 Pa2 N4'
_cell_length_a 6.046
_cell_length_b 3.508
_cell_length_c 6.107
_cell_angle_alpha 90.00
_cell_angle_beta 109.43
_cell_angle_gamma 90.00
_space_group_name_H-M_alt 'P 1 2/m 1'
_space_group_IT_number 10
loop_
_space_group_symop_operation_xyz
'x,y,z'
'-x,-y,-z'
'-x,y,-z'
'x,-y,z'
loop_
_atom_site_label
_atom_site_fract_x
_atom_site_fract_y
_atom_site_fract_z
Ce1 0.000 0.000 0.000
Ho1 0.000 0.500 0.500
Pa1 0.500 0.000 0.500
Pa2 0.500 0.500 0.000
N1 0.263 0.000 0.746
N2 0.267 0.500 0.265
```